a.
A plane-wave DFT calculation with PBE was carried out for crystalline PW2Au at its relaxed geometry.

Calculated volume ... 15.659 Å³ per atom
ρ ... 15.79 Mg/m³

Cell lengths 8.7060, 8.7060, 8.7060 Å; angles 19.24, 19.24, 19.24 degrees
Sites, in units of the cell vectors:
P: 0.0000 0.0000 0.0000
W: 0.2592 0.2592 0.2592
W: 0.7408 0.7408 0.7408
Au: 0.5000 0.5000 0.5000

b.
A plane-wave DFT calculation with PBE was carried out for crystalline PW2Au at its relaxed geometry.

Calculated volume ... 15.498 Å³ per atom
ρ ... 15.95 Mg/m³

Cell lengths 5.3326, 5.3326, 5.3326 Å; angles 147.17, 130.44, 60.73 degrees
Sites, in units of the cell vectors:
P: 0.0000 0.0000 0.0000
W: 0.2035 0.7035 0.5000
W: 0.4837 0.4837 0.0000
Au: 0.7601 0.2601 0.5000

c.
A plane-wave DFT calculation with PBE was carried out for crystalline PW2Au at its relaxed geometry.

Calculated volume ... 15.900 Å³ per atom
ρ ... 15.55 Mg/m³

Cell lengths 2.9011, 3.9805, 5.6607 Å; angles 90.00, 103.36, 90.00 degrees
Sites, in units of the cell vectors:
P: 0.0000 0.0000 0.0000
W: 0.0980 0.5000 0.7695
W: 0.9020 0.5000 0.2305
Au: 0.5000 0.0000 0.5000

Quick one: most stable of them? a

a.
A plane-wave DFT calculation with PBE was carried out for crystalline PW2Au at its relaxed geometry.

Calculated volume ... 16.395 Å³ per atom
ρ ... 15.08 Mg/m³

Cell lengths 4.4448, 5.2605, 5.2605 Å; angles 32.22, 90.00, 90.00 degrees
Sites, in units of the cell vectors:
P: 0.0000 0.0000 0.0000
W: 0.0000 0.7026 0.7026
W: 0.5000 0.0781 0.0781
Au: 0.5000 0.3418 0.3418

b.
A plane-wave DFT calculation with PBE was carried out for crystalline PW2Au at its relaxed geometry.

Calculated volume ... 16.967 Å³ per atom
ρ ... 14.57 Mg/m³

Cell lengths 9.9530, 9.9530, 9.9530 Å; angles 158.21, 158.21, 31.00 degrees
Sites, in units of the cell vectors:
P: 0.0000 0.0000 0.0000
P: 0.7500 0.2500 0.5000
W: 0.1082 0.6250 0.9832
W: 0.3750 0.3582 0.4832
W: 0.6418 0.1250 0.0168
W: 0.8750 0.8918 0.5168
Au: 0.2500 0.7500 0.5000
Au: 0.5000 0.5000 0.0000

Quick one: most stable of them? a

a.
A plane-wave DFT calculation with PBE was carried out for crystalline PW2Au at its relaxed geometry.

Calculated volume ... 15.747 Å³ per atom
ρ ... 15.70 Mg/m³

Cell lengths 5.2157, 5.2157, 5.2157 Å; angles 145.40, 127.72, 64.22 degrees
Sites, in units of the cell vectors:
P: 0.0000 0.0000 0.0000
W: 0.2122 0.7122 0.5000
W: 0.7878 0.2878 0.5000
Au: 0.5000 0.5000 0.0000

b.
A plane-wave DFT calculation with PBE was carried out for crystalline PW2Au at its relaxed geometry.

Calculated volume ... 15.739 Å³ per atom
ρ ... 15.71 Mg/m³

Cell lengths 4.9355, 4.9355, 4.9355 Å; angles 133.10, 133.10, 68.50 degrees
Sites, in units of the cell vectors:
P: 0.0000 0.0000 0.0000
W: 0.2500 0.7500 0.5000
W: 0.5000 0.5000 0.0000
Au: 0.7500 0.2500 0.5000

Quick one: most stable of them? a

a.
A plane-wave DFT calculation with PBE was carried out for crystalline P3WAu at its relaxed geometry.

Calculated volume ... 20.176 Å³ per atom
ρ ... 7.80 Mg/m³

Cell lengths 4.6552, 4.6552, 4.6552 Å; angles 90.00, 90.00, 90.00 degrees
Sites, in units of the cell vectors:
P: 0.0000 0.0000 0.5000
P: 0.0000 0.5000 0.0000
P: 0.5000 0.0000 0.0000
W: 0.5000 0.5000 0.5000
Au: 0.0000 0.0000 0.0000

b.
A plane-wave DFT calculation with PBE was carried out for crystalline P3WAu at its relaxed geometry.

Calculated volume ... 20.687 Å³ per atom
ρ ... 7.61 Mg/m³

Cell lengths 4.6941, 4.6941, 4.6941 Å; angles 90.00, 90.00, 90.00 degrees
Sites, in units of the cell vectors:
P: 0.0000 0.0000 0.5000
P: 0.0000 0.5000 0.0000
P: 0.5000 0.0000 0.0000
W: 0.0000 0.0000 0.0000
Au: 0.5000 0.5000 0.5000

Quick one: most stable of them? b